(1)
Here is a relaxed TlAgPb2 crystal from the Alexandria database. Energies are from PBEsol.

Summary:
Energy above the most stable polymorph in this dataset in eV per atom: 0.060
Total moment in Bohr magnetons per cell: 0.00

a b c (Å): 3.361 5.536 6.480
angles (deg): 115.29 105.03 90.00
Positions (direct):
Pb1 0.720 0.720 0.440
Tl1 0.500 0.000 0.000
Pb2 0.280 0.280 0.560
Ag1 0.000 0.500 0.000

***

(2)
Here is a relaxed MgBOs3 crystal from the Alexandria database. Energies are from PBEsol.

Summary:
Total moment in Bohr magnetons per cell: 0.00

a b c (Å): 4.085 4.085 4.085
angles (deg): 90.00 90.00 90.00
Positions (direct):
Mg1 0.500 0.500 0.500
Os1 0.000 0.000 0.500
B1 0.000 0.000 0.000
Os2 0.500 0.000 0.000
Os3 0.000 0.500 0.000

***

(3)
Here is a relaxed TiTc2I crystal from the Alexandria database. Energies are from PBEsol.

Summary:
Total moment in Bohr magnetons per cell: 0.00
Formation energy without anion corrections in eV per atom: 0.3731

a b c (Å): 4.469 4.469 4.469
angles (deg): 60.00 60.00 60.00
Positions (direct):
I1 0.500 0.500 0.500
Ti1 0.000 0.000 0.000
Tc1 0.250 0.250 0.250
Tc2 0.750 0.750 0.750

***

N(E_F) for the records above, in order: 0.443, 1.166, 0.752 states/eV per atom
Energy for the records above, in order: -13.56, -43.77, -31.13 eV for the cell shown
Calculated density for the records above, in order: 11.55, 14.76, 9.75 Mg/m³